Compound: AlCoTe2
Source: the Alexandria database
Functional: GGA-PBE
Structure: relaxed

Results
DOS(E_F), states/eV/cell: 4.2
Symmetry: P4mm (99)
Total DFT energy (no corrections), eV/atom: -4.25
Formation energy (no corrections), meV per atom: 29.7

Cell and atoms, written as POSCAR:
```
AlCoTe2
1.0
-0.378 3.433 -0.488
-2.195 0.143 2.708
5.766 1.288 4.605
Te Co Al
2 1 1
Cartesian
5.134 1.147 4.100 Te
0.797 2.254 2.773 Te
2.802 2.702 4.375 Co
3.110 0.695 2.484 Al
```

=====

Compound: Ni23MoRh6
Source: the Alexandria database
Functional: GGA-PBE
Structure: relaxed

Results
DOS(E_F), states/eV/cell: 45.4
Symmetry: Fm-3m (225)
Total DFT energy (no corrections), eV/atom: -6.15

Cell and atoms, written as POSCAR:
```
Ni23MoRh6
1.0
-1.902 -2.330 7.398
0.593 -7.699 2.038
5.728 -2.367 5.037
Ni Mo Rh
23 1 6
Cartesian
-0.443 -2.703 5.565 Ni
4.862 -9.693 8.910 Ni
3.485 -2.722 4.349 Ni
0.536 -1.504 1.756 Ni
0.934 -9.674 10.125 Ni
3.883 -10.893 12.719 Ni
0.841 -5.467 2.805 Ni
3.578 -6.929 11.669 Ni
-0.654 -5.015 4.718 Ni
2.864 -1.184 2.519 Ni
-0.951 -1.165 3.699 Ni
3.160 -5.033 3.538 Ni
1.913 -2.349 6.218 Ni
0.297 -3.850 1.019 Ni
0.229 -5.692 9.727 Ni
4.190 -6.705 4.748 Ni
5.254 -5.716 8.171 Ni
1.482 -4.157 4.854 Ni
-0.835 -6.680 6.303 Ni
2.937 -8.239 9.620 Ni
1.873 -9.228 6.196 Ni
2.546 -3.169 8.278 Ni
0.000 0.000 0.000 Ni
2.209 -6.198 7.237 Mo
0.629 -7.919 8.225 Rh
3.790 -4.477 6.249 Rh
0.362 -4.460 7.310 Rh
4.057 -7.936 7.165 Rh
2.936 -5.524 9.573 Rh
1.483 -6.873 4.901 Rh
```